First-principles (PBE) data for an optimized crystal structure of AlCoI3, as listed in Alexandria.

Cell: 5.393 5.393 5.393 Å, 90.00 90.00 90.00°
Each line ends with the local moment (μB).
Element x y z (fractional)
I: 0.500 0.000 0.000  0.01
I: 0.000 0.500 0.000  0.01
I: 0.000 0.000 0.500  0.04
Co: 0.000 0.000 0.000  1.66
Al: 0.500 0.500 0.500  0.01

Values from the calculation:
The calculation puts the formation energy from raw total energies at 0.23 eV/atom. As for the polymorph energy (0 for the lowest one): 0 meV/atom. The space group is Pm-3m.